1.
## SrCaHfSnO6 (PBE)

Data for an optimized crystal structure of SrCaHfSnO6.

Cell: 5.803 5.803 5.803 Å, 60.00 60.00 60.00°
Fractional coordinates of all 10 atoms:
Sr1 0.000 0.000 0.000
Ca1 0.500 0.500 0.500
Hf1 0.750 0.750 0.750
Sn1 0.250 0.250 0.250
O1 0.000 0.000 0.500
O2 0.000 0.500 0.000
O3 0.000 0.500 0.500
O4 0.500 0.000 0.000
O5 0.500 0.000 0.500
O6 0.500 0.500 0.000

Values from the calculation:
Space-group type: F-43m
Magnetic moment, μB per formula unit: 0.00
Energy relative to the elements, uncorrected, meV/atom: -2734
Uncorrected energy, eV/f.u.: -74.73
Density of states at the Fermi level, states/eV per atom: 0.000
V, Å³/atom: 13.816



2.
## SrGa2Tc2C (PBE)

Data for an optimized crystal structure of SrGa2Tc2C.

Cell: 4.161 4.161 5.872 Å, 90.00 90.00 90.00°
Fractional coordinates of all 6 atoms:
Sr1 0.000 0.000 0.000
Ga1 0.500 0.500 0.225
Ga2 0.500 0.500 0.775
Tc1 0.000 0.500 0.500
Tc2 0.500 0.000 0.500
C1 0.000 0.000 0.500

Values from the calculation:
Space-group type: P4/mmm
Magnetic moment, μB per formula unit: 0.00
Uncorrected energy, eV/f.u.: -39.13
Density of states at the Fermi level, states/eV per atom: 0.540
Formation energy, eV/atom: -0.2396
V, Å³/atom: 16.940



3.
## FeTe2RuI (PBE)

Data for an optimized crystal structure of FeTe2RuI.

Cell: 5.143 5.143 5.534 Å, 90.00 90.00 90.00°
Fractional coordinates of all 5 atoms:
Fe1 0.000 0.000 0.000
Te1 0.000 0.500 0.500
Te2 0.500 0.000 0.500
Ru1 0.500 0.500 0.500
I1 0.500 0.500 0.000

Values from the calculation:
Space-group type: P4/mmm
Magnetic moment, μB per formula unit: 3.36
Energy relative to the elements, uncorrected, meV/atom: 926
Uncorrected energy, eV/f.u.: -20.94
Density of states at the Fermi level, states/eV per atom: 1.747
V, Å³/atom: 29.283
ΔE to the lowest computed polymorph, meV per atom: 0



4.
## TaInW (PBE)

Data for an optimized crystal structure of TaInW.

Cell: 5.259 5.259 5.259 Å, 141.65 141.65 55.36°
Fractional coordinates of all 3 atoms:
Ta1 0.000 0.000 0.000
In1 0.684 0.684 0.000
W1 0.363 0.363 0.000

Values from the calculation:
Space-group type: I4mm
Magnetic moment, μB per formula unit: 0.00
Uncorrected energy, eV/f.u.: -26.84
Density of states at the Fermi level, states/eV per atom: 0.392
Formation energy, eV/atom: 0.2346
V, Å³/atom: 18.533
ΔE to the lowest computed polymorph, meV per atom: 0



> Which value of V does entry 3 give?

29.283 Å³/atom